This record from the Alexandria database describes a relaxed Ac2Mn3O10 crystal. The functional is GGA+U.

Cell and atoms, written as extended XYZ:
```
30
Lattice="8.886 -2.866 0.000 8.886 2.866 0.000 -2.786 0.000 7.061" Properties=species:S:1:pos:R:3 pbc="T T T"
Ac 1.394 0.000 1.545
Ac 1.584 0.000 5.630
Ac 13.402 0.000 1.430
Ac 13.593 0.000 5.516
Mn 7.493 1.449 3.530
Mn 4.421 0.000 3.472
Mn 7.426 0.000 0.307
Mn 7.561 0.000 6.753
Mn 10.566 0.000 3.589
Mn 7.493 -1.449 3.530
O 3.050 1.433 3.530
O -1.515 0.000 4.785
O 6.142 1.351 0.221
O 5.584 1.477 3.418
O 4.141 0.000 1.635
O 8.886 1.278 0.000
O 9.402 1.477 3.643
O 4.291 0.000 5.392
O 8.845 1.351 6.840
O 7.604 0.000 2.232
O 3.050 -1.433 3.530
O 7.382 0.000 4.829
O 6.142 -1.351 0.221
O 10.696 0.000 1.669
O 5.584 -1.477 3.418
O 8.886 -1.278 0.000
O 10.846 0.000 5.425
O 9.402 -1.477 3.643
O 8.845 -1.351 6.840
O 16.501 0.000 2.275
```

## Properties
Calculated total energy (eV for the cell shown): -217.781